First-principles (GGA-PBE) data for crystalline Sr5Li at its relaxed geometry, as listed in Alexandria.

Results
For the distance to the lowest polymorph of the same formula, the calculation gives 0.021 eV per atom. Its formation energy from the elements is 0.0448 eV per atom.

extended XYZ file:
```
12
Lattice="6.473 0.000 0.000 0.000 4.738 0.000 0.000 0.000 19.379" Properties=species:S:1:pos:R:3 pbc="T T T"
Sr 0.000 0.000 0.000
Sr 0.000 0.000 6.048
Sr 0.000 2.369 9.689
Sr 0.000 2.369 15.737
Sr 3.237 0.000 3.032
Sr 3.237 0.000 9.454
Sr 3.237 0.000 15.992
Sr 3.237 2.369 6.302
Sr 3.237 2.369 12.721
Sr 3.237 2.369 19.143
Li 0.000 0.000 12.712
Li 0.000 2.369 3.023
```


First-principles (GGA-PBE) data for crystalline ZrPtS at its relaxed geometry, as listed in Alexandria.

Results
For the distance to the lowest polymorph of the same formula, the calculation gives 0.187 eV per atom. The formation energy without anion corrections comes out at -1.03 eV per atom.

extended XYZ file:
```
9
Lattice="3.628 0.000 0.000 -1.814 3.142 0.000 0.000 0.000 17.105" Properties=species:S:1:pos:R:3 pbc="T T T"
Zr 0.000 0.000 0.000
Zr 0.000 2.094 11.403
Zr 1.814 1.047 5.702
Pt 0.000 0.000 9.724
Pt 0.000 2.094 4.023
Pt 1.814 1.047 15.426
S 0.000 0.000 7.283
S 0.000 2.094 1.581
S 1.814 1.047 12.985
```


First-principles (GGA-PBE) data for crystalline TcPtW2 at its relaxed geometry, as listed in Alexandria.

Results
For the distance to the lowest polymorph of the same formula, the calculation gives 0.441 eV per atom. Its formation energy from the elements is 0.3083 eV per atom.

extended XYZ file:
```
16
Lattice="6.326 0.000 0.000 0.000 6.326 0.000 0.000 0.000 6.326" Properties=species:S:1:pos:R:3 pbc="T T T"
Tc 0.000 0.000 0.000
Tc 0.000 3.163 3.163
Tc 3.163 0.000 3.163
Tc 3.163 3.163 0.000
Pt 0.000 0.000 3.163
Pt 0.000 3.163 0.000
Pt 3.163 0.000 0.000
Pt 3.163 3.163 3.163
W 1.582 1.582 1.582
W 1.582 1.582 4.745
W 1.582 4.745 1.582
W 1.582 4.745 4.745
W 4.745 1.582 1.582
W 4.745 1.582 4.745
W 4.745 4.745 1.582
W 4.745 4.745 4.745
```


First-principles (GGA-PBE) data for crystalline Dy2GaSi3Pt4 at its relaxed geometry, as listed in Alexandria.

Results
The formation energy without anion corrections comes out at -1.08 eV per atom.

extended XYZ file:
```
10
Lattice="4.204 0.000 0.000 0.000 4.204 0.000 0.000 0.000 10.016" Properties=species:S:1:pos:R:3 pbc="T T T"
Dy 0.000 2.102 2.476
Dy 2.102 0.000 7.540
Ga 2.102 2.102 0.000
Si 0.000 0.000 0.000
Si 0.000 2.102 6.311
Si 2.102 0.000 3.705
Pt 0.000 0.000 5.008
Pt 0.000 2.102 8.662
Pt 2.102 0.000 1.354
Pt 2.102 2.102 5.008
```


First-principles (GGA-PBE) data for crystalline Tb2Pm4Y2Tm at its relaxed geometry, as listed in Alexandria.

Results
Its formation energy from the elements is 0.0194 eV per atom.

extended XYZ file:
```
9
Lattice="7.639 -2.542 0.000 7.639 2.542 0.000 -2.549 0.000 7.617" Properties=species:S:1:pos:R:3 pbc="T T T"
Tb 1.265 0.000 1.282
Tb 11.463 0.000 6.335
Pm 1.273 0.000 6.349
Pm 6.375 0.000 1.275
Pm 6.354 0.000 6.342
Pm 11.456 0.000 1.268
Y 3.826 0.000 3.810
Y 8.902 0.000 3.807
Tm -1.274 0.000 3.809
```


First-principles (GGA-PBE) data for crystalline VCo3Ni at its relaxed geometry, as listed in Alexandria.

Results
For the distance to the lowest polymorph of the same formula, the calculation gives 0.752 eV per atom. Its formation energy from the elements is 1.1610 eV per atom.

extended XYZ file:
```
5
Lattice="4.228 0.000 0.000 0.000 4.228 0.000 0.000 0.000 4.228" Properties=species:S:1:pos:R:3 pbc="T T T"
V 0.000 0.000 0.000
Co 0.000 2.114 2.114
Co 2.114 0.000 2.114
Co 2.114 2.114 0.000
Ni 2.114 2.114 2.114
```


First-principles (GGA-PBE) data for crystalline PmY8Tm5 at its relaxed geometry, as listed in Alexandria.

Results
Its formation energy from the elements is 0.2490 eV per atom.

extended XYZ file:
```
14
Lattice="-4.747 4.747 5.092 4.747 -4.747 5.092 4.747 4.747 -5.092" Properties=species:S:1:pos:R:3 pbc="T T T"
Pm 0.000 0.000 0.000
Y 6.388 0.822 0.031
Y 1.688 -0.676 3.558
Y 0.822 3.106 -0.031
Y 3.059 5.423 -1.534
Y 4.071 3.059 1.534
Y 3.925 1.641 5.061
Y 0.676 1.688 6.626
Y -1.641 3.925 5.123
Tm 3.690 1.988 -1.804
Tm 4.747 0.000 2.546
Tm 2.759 -1.057 6.896
Tm 1.057 2.759 3.288
Tm 1.988 5.804 1.804
```


First-principles (GGA-PBE) data for crystalline Y2Be2SiO7 at its relaxed geometry, as listed in Alexandria.

Results
The formation energy without anion corrections comes out at -3.16 eV per atom.

extended XYZ file:
```
24
Lattice="7.348 0.000 0.000 0.000 7.348 0.000 0.000 0.000 4.801" Properties=species:S:1:pos:R:3 pbc="T T T"
Y 1.168 2.506 0.036
Y 2.506 6.180 4.765
Y 4.842 1.168 4.765
Y 6.180 4.842 0.036
Be 1.004 4.678 2.593
Be 2.670 1.004 2.207
Be 4.678 6.344 2.207
Be 6.344 2.670 2.593
Si 0.000 0.000 2.400
Si 3.674 3.674 2.400
O 0.000 3.674 3.272
O 0.601 6.151 3.355
O 1.039 4.713 1.003
O 1.197 0.601 1.446
O 2.477 4.275 3.355
O 2.635 1.039 3.798
O 3.073 2.477 1.446
O 3.674 0.000 1.528
O 4.275 4.871 1.446
O 4.713 6.309 3.798
O 4.871 3.073 3.355
O 6.151 6.748 1.446
O 6.309 2.635 1.003
O 6.748 1.197 3.355
```


First-principles (GGA-PBE) data for crystalline ReSiIr2 at its relaxed geometry, as listed in Alexandria.

Results
The formation energy without anion corrections comes out at -0.11 eV per atom.

extended XYZ file:
```
8
Lattice="9.039 0.000 0.000 0.000 2.765 0.000 -0.484 0.000 4.556" Properties=species:S:1:pos:R:3 pbc="T T T"
Re 0.000 0.000 0.000
Re 4.520 1.383 0.000
Si -0.242 1.383 2.278
Si 4.278 0.000 2.278
Ir 2.072 1.383 1.128
Ir 1.964 0.000 3.428
Ir 6.591 0.000 1.128
Ir 6.483 1.383 3.428
```


First-principles (GGA-PBE) data for crystalline RuSO2F at its relaxed geometry, as listed in Alexandria.

Results
The formation energy without anion corrections comes out at -0.11 eV per atom.

extended XYZ file:
```
5
Lattice="3.859 0.000 0.000 0.000 3.859 0.000 0.000 0.000 4.112" Properties=species:S:1:pos:R:3 pbc="T T T"
Ru 0.000 0.000 0.000
S 1.930 1.930 2.056
O 0.000 1.930 0.000
O 1.930 0.000 0.000
F 0.000 0.000 2.056
```


First-principles (GGA-PBE) data for crystalline AlCuPb2S4 at its relaxed geometry, as listed in Alexandria.

Results
The formation energy without anion corrections comes out at -0.58 eV per atom.

extended XYZ file:
```
16
Lattice="7.870 0.000 0.000 0.000 10.057 0.000 -3.698 0.000 4.862" Properties=species:S:1:pos:R:3 pbc="T T T"
Al 0.000 0.000 0.000
Al 3.935 5.029 0.000
Cu -1.849 2.508 2.431
Cu 2.086 7.537 2.431
Pb 0.000 4.506 0.000
Pb -1.849 7.141 2.431
Pb 2.086 2.112 2.431
Pb 3.935 9.535 0.000
S -1.887 1.323 4.472
S 0.267 8.929 1.969
S -0.030 3.900 2.893
S 2.124 6.352 0.390
S 2.048 6.352 4.472
S 4.202 3.900 1.969
S 3.905 8.929 2.893
S 6.059 1.323 0.390
```


First-principles (GGA-PBE) data for crystalline Er4Tl3H at its relaxed geometry, as listed in Alexandria.

Results
The value obtained for the energy is -3.8704 eV/atom.

extended XYZ file:
```
16
Lattice="4.279 0.000 0.000 0.000 10.615 0.000 0.000 0.000 9.058" Properties=species:S:1:pos:R:3 pbc="T T T"
Er 1.070 0.752 1.767
Er 1.070 2.654 7.540
Er 1.070 4.556 1.767
Er 1.070 7.961 5.016
Er 3.209 2.654 4.043
Er 3.209 6.059 7.292
Er 3.209 7.961 1.518
Er 3.209 9.863 7.292
Tl 1.070 0.601 5.402
Tl 1.070 4.707 5.402
Tl 1.070 7.961 8.502
Tl 3.209 2.654 0.556
Tl 3.209 5.908 3.656
Tl 3.209 10.014 3.656
H 1.070 2.654 3.005
H 3.209 7.961 6.053
```